DFT (PBE) results for a relaxed structure of KCuTe2.

Values from the calculation:
Density of states at the Fermi level, states/eV/cell: 2.22
Energy, eV/atom: -3.087
Symmetry: P4mm, No. 99
Total moment, μB per cell: 0.0
Crystal system: tetragonal
Energy relative to the elements, uncorrected, meV/atom: -217

The structure in POSCAR format:
```
KCuTe2
1.0
3.640 0.000 0.000
0.000 3.640 0.000
0.000 0.000 9.234
K Cu Te
1 1 2
direct
0.000 0.000 0.000
0.500 0.500 0.535
0.000 0.000 0.632
0.500 0.500 0.254
```

DFT (PBE) results for a relaxed structure of KCuTe2.

Values from the calculation:
Density of states at the Fermi level, states/eV/cell: 2.76
Energy, eV/atom: -2.858
Symmetry: P2/m, No. 10
Total moment, μB per cell: 0.0
Crystal system: monoclinic
Energy relative to the elements, uncorrected, meV/atom: 11

The structure in POSCAR format:
```
KCuTe2
1.0
5.681 0.000 0.000
0.000 3.175 0.000
-0.047 0.000 6.359
K Cu Te
1 1 2
direct
0.000 0.000 0.000
0.500 0.500 0.500
0.000 0.000 0.500
0.500 0.500 0.000
```

DFT (PBE) results for a relaxed structure of KCu2Te2.

Values from the calculation:
Density of states at the Fermi level, states/eV/cell: 6.59
Energy, eV/atom: -3.479
Symmetry: Fddd, No. 70
Total moment, μB per cell: 0.0
Crystal system: orthorhombic
Energy relative to the elements, uncorrected, meV/atom: -365

The structure in POSCAR format:
```
KCu2Te2
1.0
0.000 5.923 5.951
3.904 0.000 5.951
3.904 5.923 0.000
K Cu Te
2 4 4
direct
0.125 0.125 0.125
0.875 0.875 0.875
0.265 0.485 0.265
0.485 0.265 0.485
0.515 0.735 0.515
0.735 0.515 0.735
0.185 0.185 0.565
0.435 0.435 0.815
0.565 0.565 0.185
0.815 0.815 0.435
```

DFT (PBE) results for a relaxed structure of KCuTe2.

Values from the calculation:
Density of states at the Fermi level, states/eV/cell: 4.82
Energy, eV/atom: -2.635
Symmetry: F-43m, No. 216
Total moment, μB per cell: 0.0
Crystal system: cubic
Energy relative to the elements, uncorrected, meV/atom: 234

The structure in POSCAR format:
```
KCuTe2
1.0
0.000 3.831 3.831
3.831 0.000 3.831
3.831 3.831 0.000
K Cu Te
1 1 2
direct
0.000 0.000 0.000
0.750 0.750 0.750
0.250 0.250 0.250
0.500 0.500 0.500
```

DFT (PBE) results for a relaxed structure of K2ThCuTe4.

Values from the calculation:
Density of states at the Fermi level, states/eV/cell: 11.01
Energy, eV/atom: -4.064
Symmetry: Imma, No. 74
Total moment, μB per cell: 0.0
Crystal system: orthorhombic
Energy relative to the elements, uncorrected, meV/atom: -780

The structure in POSCAR format:
```
K2ThCuTe4
1.0
-4.399 4.681 6.928
4.399 -4.681 6.928
4.399 4.681 -6.928
K Th Cu Te
4 2 2 8
direct
0.000 0.000 0.000
0.500 0.000 0.000
0.500 0.000 0.500
0.500 0.500 0.500
0.000 0.500 0.500
0.500 0.500 0.000
0.000 0.000 0.500
0.000 0.500 0.000
0.164 0.731 0.433
0.202 0.269 0.933
0.258 0.277 0.520
0.258 0.738 0.980
0.742 0.262 0.020
0.742 0.723 0.480
0.798 0.731 0.067
0.836 0.269 0.567
```

DFT (PBE) results for a relaxed structure of K2TiCu2Te6.

Values from the calculation:
Density of states at the Fermi level, states/eV/cell: 6.66
Energy, eV/atom: -3.754
Symmetry: C2/m, No. 12
Total moment, μB per cell: 0.0
Crystal system: monoclinic
Energy relative to the elements, uncorrected, meV/atom: -379

The structure in POSCAR format:
```
K2TiCu2Te6
1.0
6.952 -3.282 0.000
6.952 3.282 0.000
-3.768 0.000 7.433
K Ti Cu Te
2 1 2 6
direct
0.218 0.218 0.201
0.782 0.782 0.799
0.000 0.000 0.500
0.412 0.412 0.844
0.588 0.588 0.156
0.212 0.691 0.203
0.218 0.218 0.614
0.309 0.788 0.797
0.691 0.212 0.203
0.782 0.782 0.386
0.788 0.309 0.797
```

DFT (PBE) results for a relaxed structure of K2TiCu2Te4.

Values from the calculation:
Density of states at the Fermi level, states/eV/cell: 2.07
Energy, eV/atom: -4.064
Symmetry: C2/m, No. 12
Total moment, μB per cell: 0.1
Crystal system: monoclinic
Energy relative to the elements, uncorrected, meV/atom: -637

The structure in POSCAR format:
```
K2TiCu2Te4
1.0
7.754 -2.053 0.000
7.754 2.053 0.000
-2.768 0.000 7.888
K Ti Cu Te
2 1 2 4
direct
0.134 0.134 0.067
0.866 0.866 0.933
0.000 0.000 0.500
0.310 0.310 0.514
0.690 0.690 0.486
0.191 0.191 0.683
0.481 0.481 0.721
0.519 0.519 0.279
0.809 0.809 0.317
```

DFT (PBE) results for a relaxed structure of KTm2CuTe4.

Values from the calculation:
Energy, eV/atom: -4.447
Symmetry: Cmcm, No. 63
Total moment, μB per cell: 0.0
Crystal system: orthorhombic
Energy relative to the elements, uncorrected, meV/atom: -1109

The structure in POSCAR format:
```
KTm2CuTe4
1.0
2.173 -7.459 0.000
2.173 7.459 0.000
0.000 0.000 15.343
K Tm Cu Te
2 4 2 8
direct
0.117 0.883 0.750
0.883 0.117 0.250
0.366 0.634 0.567
0.366 0.634 0.933
0.634 0.366 0.067
0.634 0.366 0.433
0.159 0.841 0.250
0.841 0.159 0.750
0.000 0.000 0.000
0.000 0.000 0.500
0.267 0.733 0.111
0.267 0.733 0.389
0.439 0.561 0.750
0.561 0.439 0.250
0.733 0.267 0.611
0.733 0.267 0.889
```

Which value of total moment does entry 3 give? 0.0 μB per cell

Which formula does entry 5 have? K2ThCuTe4

energy relative to the elements, uncorrected of number 3 (KCu2Te2)? -365 meV/atom